(1)
## CdSnTe2 (PBE)

Data for CdSnTe2 after structural relaxation.

a b c (Å): 4.3082 4.3082 23.0077
angles (deg): 90.00 90.00 120.00
Space group R3m (No. 160, hexagonal axes)
Symmetry-distinct sites (fractional):
Cd (0.0000, 0.0000, 0.0000) (multiplicity 3)
Sn (0.0000, 0.0000, 0.8311) (multiplicity 3)
Te (0.0000, 0.0000, 0.2494) (multiplicity 3)
Te (0.0000, 0.0000, 0.4146) (multiplicity 3)

Results
* raw formation energy: -0.93 eV per formula unit
* final energy: -3.034 eV per atom
* D(E_F): 0.184 states/eV/atom
* crystal system: trigonal

(2)
## CdSnTe3 (PBE)

Data for CdSnTe3 after structural relaxation.

a b c (Å): 5.577 5.577 5.577
angles (deg): 90.00 90.00 90.00
Space group Pm-3m (No. 221)
Symmetry-distinct sites (fractional):
Cd (0.000, 0.000, 0.000) (multiplicity 1)
Sn (0.500, 0.500, 0.500) (multiplicity 1)
Te (0.000, 0.000, 0.500) (multiplicity 3)

Results
* raw formation energy: 1.79 eV per formula unit
* final energy: -2.511 eV per atom
* D(E_F): 0.704 states/eV/atom
* crystal system: cubic
* distance to the lowest polymorph of the same formula: 0.000 eV/atom

(3)
## CdSn3Te (PBE)

Data for CdSn3Te after structural relaxation.

a b c (Å): 5.536 5.536 5.536
angles (deg): 90.00 90.00 90.00
Space group Pm-3m (No. 221)
Symmetry-distinct sites (fractional):
Cd (0.000, 0.000, 0.000) (multiplicity 1)
Sn (0.000, 0.000, 0.500) (multiplicity 3)
Te (0.500, 0.500, 0.500) (multiplicity 1)

Results
* raw formation energy: 2.22 eV per formula unit
* final energy: -2.769 eV per atom
* D(E_F): 0.984 states/eV/atom
* crystal system: cubic
* distance to the lowest polymorph of the same formula: 0.000 eV/atom

(4)
## CdSn2Te (PBE)

Data for CdSn2Te after structural relaxation.

a b c (Å): 7.658 7.658 7.658
angles (deg): 90.00 90.00 90.00
Space group Fm-3m (No. 225)
Symmetry-distinct sites (fractional):
Cd (0.000, 0.000, 0.000) (multiplicity 4)
Sn (0.250, 0.250, 0.250) (multiplicity 8)
Te (0.000, 0.000, 0.500) (multiplicity 4)

Results
* raw formation energy: 0.39 eV per formula unit
* final energy: -2.918 eV per atom
* D(E_F): 0.706 states/eV/atom
* crystal system: cubic
* distance to the lowest polymorph of the same formula: 0.026 eV/atom

(5)
## CdSnTe2 (PBE)

Data for CdSnTe2 after structural relaxation.

a b c (Å): 7.671 7.671 7.671
angles (deg): 90.00 90.00 90.00
Space group Fm-3m (No. 225)
Symmetry-distinct sites (fractional):
Cd (0.000, 0.000, 0.000) (multiplicity 4)
Sn (0.000, 0.000, 0.500) (multiplicity 4)
Te (0.250, 0.250, 0.250) (multiplicity 8)

Results
* raw formation energy: -0.08 eV per formula unit
* final energy: -2.820 eV per atom
* D(E_F): 0.561 states/eV/atom
* crystal system: cubic

(6)
## CdSn2Te (PBE)

Data for CdSn2Te after structural relaxation.

a b c (Å): 6.677 6.677 13.625
angles (deg): 90.00 90.00 90.00
Space group I-42d (No. 122)
Symmetry-distinct sites (fractional):
Cd (0.000, 0.000, 0.000) (multiplicity 4)
Sn (0.228, 0.250, 0.125) (multiplicity 8)
Te (0.000, 0.000, 0.500) (multiplicity 4)

Results
* raw formation energy: 0.29 eV per formula unit
* final energy: -2.944 eV per atom
* D(E_F): 0.006 states/eV/atom
* crystal system: tetragonal
* distance to the lowest polymorph of the same formula: 0.000 eV/atom